1.
Below is a geometry-optimized Pm3Si3B8 structure, with properties calculated at the PBE-GGA level.

Cell: 8.1082 8.1082 8.1082 Å, 157.40 113.85 70.88°
Last column: nearest neighbours and their distance in Å.
Fractional positions:
Pm 0.0000 0.0000 0.0000  12 B 2.81-2.95, 4 Si 3.03
Pm 0.2838 0.2838 0.0000  12 B 2.89-2.98, 2 Pm 3.18
Pm 0.7162 0.7162 0.0000  12 B 2.89-2.98, 2 Pm 3.18
Si 0.2909 0.5000 0.7909  2 B 2.06
Si 0.5000 0.0000 0.5000  4 Si 2.44
Si 0.7091 0.5000 0.2091  2 B 2.06
B 0.0474 0.3602 0.6872  2 B 1.66
B 0.1046 0.8628 0.2419  2 B 1.66
B 0.3269 0.6398 0.6872  2 B 1.66
B 0.3791 0.1372 0.2419  2 B 1.66
B 0.6209 0.8628 0.7581  2 B 1.66
B 0.6731 0.3602 0.3128  2 B 1.66
B 0.8954 0.1372 0.7581  2 B 1.66
B 0.9526 0.6398 0.3128  2 B 1.66

Symmetry: Immm, No. 71
Formation energy from raw total energies in eV per atom: -0.01

2.
Below is a geometry-optimized ScCo3Te structure, with properties calculated at the PBE-GGA level.

Cell: 4.5772 4.5772 4.5772 Å, 90.00 90.00 90.00°
Last column: nearest neighbours and their distance in Å.
Fractional positions:
Sc 0.0000 0.0000 0.0000  12 Co 3.24
Co 0.0000 0.5000 0.5000  2 Te 2.29
Co 0.5000 0.0000 0.5000  2 Te 2.29
Co 0.5000 0.5000 0.0000  2 Te 2.29
Te 0.5000 0.5000 0.5000  6 Co 2.29

Symmetry: Pm-3m, No. 221
Energy above the lowest structure with this stoichiometry in meV per atom: 0.0
Formation energy from raw total energies in eV per atom: 0.68

3.
Below is a geometry-optimized TcBi3O8 structure, with properties calculated at the PBE-GGA level.

Cell: 11.7135 11.7135 11.7135 Å, 90.00 90.00 90.00°
Last column: nearest neighbours and their distance in Å.
Fractional positions:
Tc 0.1113 0.1113 0.1113  4 O 1.74-1.76
Tc 0.1188 0.8812 0.3812  4 O 1.74-1.75
Tc 0.3812 0.1188 0.8812  4 O 1.74-1.75
Tc 0.3887 0.8887 0.6113  4 O 1.74-1.76
Tc 0.6113 0.3887 0.8887  4 O 1.74-1.76
Tc 0.6188 0.6188 0.6188  4 O 1.74-1.75
Tc 0.8812 0.3812 0.1188  4 O 1.74-1.75
Tc 0.8887 0.6113 0.3887  4 O 1.74-1.76
Bi 0.1119 0.1481 0.6400  3 O 2.18-2.32
Bi 0.1166 0.8473 0.8652  4 O 2.19-2.38
Bi 0.1348 0.6166 0.6527  4 O 2.19-2.38
Bi 0.1400 0.3881 0.8519  3 O 2.18-2.32
Bi 0.1481 0.6400 0.1119  3 O 2.18-2.32
Bi 0.1527 0.3652 0.3834  4 O 2.19-2.38
Bi 0.3473 0.6348 0.8834  4 O 2.19-2.38
Bi 0.3519 0.3600 0.6119  3 O 2.18-2.32
Bi 0.3600 0.6119 0.3519  3 O 2.18-2.32
Bi 0.3652 0.3834 0.1527  4 O 2.19-2.38
Bi 0.3834 0.1527 0.3652  4 O 2.19-2.38
Bi 0.3881 0.8519 0.1400  3 O 2.18-2.32
Bi 0.6119 0.3519 0.3600  3 O 2.18-2.32
Bi 0.6166 0.6527 0.1348  4 O 2.19-2.38
Bi 0.6348 0.8834 0.3473  4 O 2.19-2.38
Bi 0.6400 0.1119 0.1481  3 O 2.18-2.32
Bi 0.6481 0.8600 0.8881  3 O 2.18-2.32
Bi 0.6527 0.1348 0.6166  4 O 2.19-2.38
Bi 0.8473 0.8652 0.1166  4 O 2.19-2.38
Bi 0.8519 0.1400 0.3881  3 O 2.18-2.32
Bi 0.8600 0.8881 0.6481  3 O 2.18-2.32
Bi 0.8652 0.1166 0.8473  4 O 2.19-2.38
Bi 0.8834 0.3473 0.6348  4 O 2.19-2.38
Bi 0.8881 0.6481 0.8600  3 O 2.18-2.32
O 0.0024 0.7459 0.7306  4 Bi 2.32-2.55
O 0.0033 0.7431 0.9717  2 Bi 2.18-2.19
O 0.0244 0.0244 0.0244  1 Tc 1.76
O 0.0283 0.5033 0.7569  2 Bi 2.18-2.19
O 0.0323 0.9677 0.4677  1 Tc 1.75
O 0.0519 0.1201 0.2470  1 Tc 1.74
O 0.0527 0.8576 0.2499  1 Tc 1.74
O 0.1201 0.2470 0.0519  1 Tc 1.74
O 0.1424 0.7499 0.4473  1 Tc 1.74
O 0.2167 0.2833 0.7167  3 Bi 2.20
O 0.2277 0.7277 0.7723  3 Bi 2.20
O 0.2306 0.4976 0.2541  4 Bi 2.32-2.55
O 0.2431 0.5283 0.9967  2 Bi 2.18-2.19
O 0.2459 0.7694 0.9976  4 Bi 2.32-2.55
O 0.2470 0.0519 0.1201  1 Tc 1.74
O 0.2499 0.0527 0.8576  1 Tc 1.74
O 0.2501 0.9473 0.3576  1 Tc 1.74
O 0.2530 0.9481 0.6201  1 Tc 1.74
O 0.2541 0.2306 0.4976  4 Bi 2.32-2.55
O 0.2569 0.4717 0.4967  2 Bi 2.18-2.19
O 0.2694 0.5024 0.7541  4 Bi 2.32-2.55
O 0.2723 0.2723 0.2723  3 Bi 2.20
O 0.2833 0.7167 0.2167  3 Bi 2.20
O 0.3576 0.2501 0.9473  1 Tc 1.74
O 0.3799 0.7530 0.5519  1 Tc 1.74
O 0.4473 0.1424 0.7499  1 Tc 1.74
O 0.4481 0.8799 0.7470  1 Tc 1.74
O 0.4677 0.0323 0.9677  1 Tc 1.75
O 0.4717 0.4967 0.2569  2 Bi 2.18-2.19
O 0.4756 0.9756 0.5244  1 Tc 1.76
O 0.4967 0.2569 0.4717  2 Bi 2.18-2.19
O 0.4976 0.2541 0.2306  4 Bi 2.32-2.55
O 0.5024 0.7541 0.2694  4 Bi 2.32-2.55
O 0.5033 0.7569 0.0283  2 Bi 2.18-2.19
O 0.5244 0.4756 0.9756  1 Tc 1.76
O 0.5283 0.9967 0.2431  2 Bi 2.18-2.19
O 0.5323 0.5323 0.5323  1 Tc 1.75
O 0.5519 0.3799 0.7530  1 Tc 1.74
O 0.5527 0.6424 0.7501  1 Tc 1.74
O 0.6201 0.2530 0.9481  1 Tc 1.74
O 0.6424 0.7501 0.5527  1 Tc 1.74
O 0.7167 0.2167 0.2833  3 Bi 2.20
O 0.7277 0.7723 0.2277  3 Bi 2.20
O 0.7306 0.0024 0.7459  4 Bi 2.32-2.55
O 0.7431 0.9717 0.0033  2 Bi 2.18-2.19
O 0.7459 0.7306 0.0024  4 Bi 2.32-2.55
O 0.7470 0.4481 0.8799  1 Tc 1.74
O 0.7499 0.4473 0.1424  1 Tc 1.74
O 0.7501 0.5527 0.6424  1 Tc 1.74
O 0.7530 0.5519 0.3799  1 Tc 1.74
O 0.7541 0.2694 0.5024  4 Bi 2.32-2.55
O 0.7569 0.0283 0.5033  2 Bi 2.18-2.19
O 0.7694 0.9976 0.2459  4 Bi 2.32-2.55
O 0.7723 0.2277 0.7277  3 Bi 2.20
O 0.7833 0.7833 0.7833  3 Bi 2.20
O 0.8576 0.2499 0.0527  1 Tc 1.74
O 0.8799 0.7470 0.4481  1 Tc 1.74
O 0.9473 0.3576 0.2501  1 Tc 1.74
O 0.9481 0.6201 0.2530  1 Tc 1.74
O 0.9677 0.4677 0.0323  1 Tc 1.75
O 0.9717 0.0033 0.7431  2 Bi 2.18-2.19
O 0.9756 0.5244 0.4756  1 Tc 1.76
O 0.9967 0.2431 0.5283  2 Bi 2.18-2.19
O 0.9976 0.2459 0.7694  4 Bi 2.32-2.55

Symmetry: P2_13, No. 198
Formation energy from raw total energies in eV per atom: -1.34

4.
Below is a geometry-optimized CdBiPd3Au structure, with properties calculated at the PBE-GGA level.

Cell: 9.1102 9.1102 5.6500 Å, 103.79 103.79 30.34°
Last column: nearest neighbours and their distance in Å.
Fractional positions:
Cd 0.1160 0.1160 0.2426  2 Au 2.84, 6 Pd 2.84-3.02, 1 Bi 3.17
Cd 0.8840 0.8840 0.7574  2 Au 2.84, 6 Pd 2.84-3.02, 1 Bi 3.17
Bi 0.2083 0.2083 0.8008  7 Pd 2.74-2.98
Bi 0.7917 0.7917 0.1992  7 Pd 2.74-2.98
Pd 0.0477 0.0477 0.7314  3 Pd 2.74-2.87, 1 Bi 2.75, 2 Au 2.78, 2 Cd 2.84-2.92
Pd 0.3019 0.3019 0.4790  3 Bi 2.74-2.84, 1 Au 2.82, 3 Pd 2.94-3.05, 2 Cd 3.02
Pd 0.3725 0.3725 0.0596  2 Au 2.86-2.91, 3 Pd 2.87-2.94, 3 Bi 2.90-2.98, 2 Cd 2.97
Pd 0.6275 0.6275 0.9404  2 Au 2.86-2.91, 3 Pd 2.87-2.94, 3 Bi 2.90-2.98, 2 Cd 2.97
Pd 0.6981 0.6981 0.5210  3 Bi 2.74-2.84, 1 Au 2.82, 3 Pd 2.94-3.05, 2 Cd 3.02
Pd 0.9523 0.9523 0.2686  3 Pd 2.74-2.87, 1 Bi 2.75, 2 Au 2.78, 2 Cd 2.84-2.92
Au 0.4646 0.4646 0.6963  5 Pd 2.78-2.91, 1 Au 2.80, 2 Cd 2.84
Au 0.5354 0.5354 0.3037  5 Pd 2.78-2.91, 1 Au 2.80, 2 Cd 2.84

Formation enthalpy at 0 K in eV/atom: -0.167
Symmetry: C2/m, No. 12

5.
Below is a geometry-optimized Hf2TlHRh structure, with properties calculated at the PBE-GGA level.

Cell: 4.4510 4.4510 4.0418 Å, 90.00 90.00 90.00°
Last column: nearest neighbours and their distance in Å.
Fractional positions:
Hf 0.0000 0.5000 0.0000  2 H 2.23
Hf 0.5000 0.0000 0.0000  2 H 2.23
Tl 0.0000 0.0000 0.5000  8 Hf 3.01, 4 Rh 3.15
H 0.5000 0.5000 0.0000  2 Rh 2.02, 4 Hf 2.23
Rh 0.5000 0.5000 0.5000  2 H 2.02

Symmetry: P4/mmm, No. 123
Electronic total energy in eV/atom: -6.837

6.
Below is a geometry-optimized Cs2K6Au structure, with properties calculated at the PBE-GGA level.

Cell: 9.6698 9.6698 9.6727 Å, 120.01 120.01 60.02°
Last column: nearest neighbours and their distance in Å.
Fractional positions:
Cs 0.2500 0.2500 0.2503  12 K 4.83-4.84
Cs 0.7500 0.7500 0.7497  12 K 4.83-4.84
K 0.2468 0.2468 0.7473  1 Au 3.37
K 0.2467 0.7535 0.2535  1 Au 3.37
K 0.2465 0.7533 0.7465  1 Au 3.37
K 0.7535 0.2467 0.2535  1 Au 3.37
K 0.7533 0.2465 0.7465  1 Au 3.37
K 0.7532 0.7532 0.2527  1 Au 3.37
Au 0.0000 0.0000 0.5000  6 K 3.37

Formation enthalpy at 0 K in eV/atom: -0.057
Symmetry: C2/m, No. 12

7.
Below is a geometry-optimized KPtAu structure, with properties calculated at the PBE-GGA level.

Cell: 4.5626 6.4207 6.4982 Å, 68.30 69.56 89.92°
Last column: nearest neighbours and their distance in Å.
Fractional positions:
K 0.1118 0.3011 0.2762  1 Pt 3.20, 5 Au 3.42-3.54
K 0.8882 0.6989 0.7238  1 Pt 3.20, 5 Au 3.42-3.54
Pt 0.2119 0.9085 0.0770  2 Pt 2.57, 3 Au 2.70-2.75
Pt 0.7881 0.0915 0.9230  2 Pt 2.57, 3 Au 2.70-2.75
Au 0.4023 0.3066 0.6933  1 Au 2.66, 3 Pt 2.70-2.75
Au 0.5977 0.6934 0.3067  1 Au 2.66, 3 Pt 2.70-2.75

Formation enthalpy at 0 K in eV/atom: -0.207
Symmetry: P-1, No. 2
Energy above the lowest structure with this stoichiometry in meV per atom: 44.6

8.
Below is a geometry-optimized SmErGaRh structure, with properties calculated at the PBE-GGA level.

Cell: 3.9432 5.8707 5.8707 Å, 42.67 90.00 90.00°
Last column: nearest neighbours and their distance in Å.
Fractional positions:
Sm 0.0000 0.0000 0.0000  1 Rh 2.86, 4 Ga 3.05
Er 0.5000 0.2857 0.2857  4 Rh 2.95, 3 Ga 3.07-3.27
Ga 0.5000 0.5842 0.5842  2 Rh 2.59
Rh 0.0000 0.7381 0.7381  2 Ga 2.59, 1 Sm 2.86

Formation enthalpy at 0 K in eV/atom: -0.715
Symmetry: Amm2, No. 38
Energy above the lowest structure with this stoichiometry in meV per atom: 0.0